# Rb2H2S

An optimized crystal structure of Rb2H2S (PBE, Alexandria).

Cell lengths 5.4988, 5.4988, 5.6375 Å; angles 58.88, 58.88, 61.73 degrees
With the nearest neighbours (Å) after each atom.
Positions (direct):
1 Rb 0.7498 0.7498 0.7517  4 H 3.19-3.20, 4 S 3.39
2 S 0.0000 0.0000 0.0000  8 Rb 3.39, 2 H 3.39
3 H 0.4497 0.4497 0.5468  1 H 0.76
4 Rb 0.2502 0.2502 0.2483  4 H 3.19-3.20, 4 S 3.39
5 H 0.5503 0.5503 0.4532  1 H 0.76

Properties
ΔE to the lowest computed polymorph: 0 meV per atom
Raw total energy: -3.164 eV/atom